A plane-wave DFT calculation with PBE was carried out for a relaxed Rb2BeBiF6 crystal.

Cell lengths 6.3881, 6.3881, 6.3881 Å; angles 122.61, 122.61, 85.54 degrees
Closest atoms and distances in Å follow each position.
Fractional positions:
1 Rb 0.2500 0.7500 0.5000  12 F 3.17-3.20
2 Rb 0.7500 0.2500 0.5000  12 F 3.17-3.20
3 Be 0.0000 0.0000 0.0000  2 F 1.54
4 Bi 0.5000 0.5000 0.0000  4 F 2.28
5 F 0.1641 0.1641 0.0000  1 Be 1.54
6 F 0.2370 0.2370 0.4740  1 Be 2.06, 1 Bi 2.28
7 F 0.2370 0.7630 0.0000  1 Be 2.06, 1 Bi 2.28
8 F 0.7630 0.2370 0.0000  1 Be 2.06, 1 Bi 2.28
9 F 0.7630 0.7630 0.5260  1 Be 2.06, 1 Bi 2.28
10 F 0.8359 0.8359 0.0000  1 Be 1.54

Properties
M_tot: 1.00 μB per formula unit
Uncorrected formation energy: -2.511 eV per atom
DFT total energy: -45.9 eV/f.u.
Space-group type: I4/mmm, No. 139